1.
SiO2 | PBE-GGA | relaxed

Calculated values
- energy relative to the elements, uncorrected (eV/atom) = -2.776

Cell: 13.9133 13.9133 6.4838 Å, 90.00 90.00 90.00°
Space group I4_1/amd (No. 141, origin choice 2)
One atom of each set of equivalent atoms:
Si 0.0000 0.1154 0.4949 x16
Si 0.0000 0.2500 0.8750 x4
O 0.0000 0.0000 0.5000 x8
O 0.0000 0.1539 0.7320 x16
O 0.0961 0.1539 0.3750 x16

---

2.
SiO2 | PBE-GGA | relaxed

Calculated values
- energy relative to the elements, uncorrected (eV/atom) = -1.555

Cell: 9.7266 9.7266 4.2684 Å, 90.00 90.00 90.00°
Space group P4/nbm (No. 125, origin choice 2)
One atom of each set of equivalent atoms:
Si 0.1010 0.6010 0.1674 x8
O 0.0000 0.0000 0.0000 x4
O 0.0000 0.0000 0.5000 x4
O 0.0617 0.7500 0.0000 x8

---

3.
SiO4 | PBE-GGA | relaxed

Calculated values
- energy relative to the elements, uncorrected (eV/atom) = -1.298
- polymorph energy (0 for the lowest one) (meV/atom) = 0

Cell: 5.0930 5.1656 10.9176 Å, 81.38 88.21 60.78°
Space group P1 (No. 1)
One atom of each set of equivalent atoms:
Si 0.0000 0.0000 0.0000 x1
Si 0.1217 0.1802 0.7253 x1
Si 0.7731 0.8850 0.6283 x1
O 0.0283 0.9692 0.6627 x1
O 0.0964 0.1340 0.8754 x1
O 0.1139 0.1036 0.2182 x1
O 0.2422 0.9910 0.1202 x1
O 0.4447 0.3657 0.3147 x1
O 0.4683 0.0901 0.6971 x1
O 0.4855 0.3129 0.4278 x1
O 0.5140 0.5368 0.9627 x1
O 0.6830 0.3220 0.0504 x1
O 0.7070 0.9385 0.4761 x1
O 0.8965 0.5294 0.6711 x1
O 0.9318 0.7356 0.0196 x1